Record 1
Entry from Alexandria: an optimized crystal structure of Na2CrHgSe (GGA-PBE).

Geometry as extended XYZ:
```
5
Lattice="5.8005 0.0000 0.0000 0.0000 5.8005 0.0000 0.0000 0.0000 5.1914" Properties=species:S:1:pos:R:3 pbc="T T T"
Na 0.0000 2.9003 0.0000
Na 2.9003 0.0000 0.0000
Cr 0.0000 0.0000 2.5957
Hg 2.9003 2.9003 0.0000
Se 2.9003 2.9003 2.5957
```

formation energy from raw total energies: 49.0 kJ/mol of atoms
ρ: 3.59 Mg/m³
calculated total energy: -2.70 eV per atom
SG: P4/mmm

Record 2
Entry from Alexandria: an optimized crystal structure of NaCrTc2Hg (GGA-PBE).

Geometry as extended XYZ:
```
5
Lattice="5.0309 0.0000 0.0000 0.0000 5.0309 0.0000 0.0000 0.0000 4.8401" Properties=species:S:1:pos:R:3 pbc="T T T"
Na 0.0000 0.0000 0.0000
Cr 2.5154 2.5154 0.0000
Tc 0.0000 2.5154 2.4201
Tc 2.5154 0.0000 2.4201
Hg 2.5154 2.5154 2.4201
```

formation energy from the elements: 1186 kJ/mol of formula units
ρ: 6.39 Mg/m³
calculated total energy: -3.94 eV per atom
SG: P4/mmm

Record 3
Entry from Alexandria: an optimized crystal structure of NaTiCr2Hg (GGA-PBE).

Geometry as extended XYZ:
```
5
Lattice="4.7931 0.0000 0.0000 0.0000 4.7931 0.0000 0.0000 0.0000 4.9382" Properties=species:S:1:pos:R:3 pbc="T T T"
Na 0.0000 0.0000 0.0000
Ti 2.3965 2.3965 2.4691
Cr 0.0000 2.3965 0.0000
Cr 2.3965 0.0000 0.0000
Hg 0.0000 0.0000 2.4691
```

formation energy from the elements: 743 kJ/mol of formula units
ρ: 5.50 Mg/m³
calculated total energy: -4.21 eV per atom
SG: P4/mmm

- Which of these has the highest calculated total energy?
  Na2CrHgSe

- What is the ρ in the third record?
  5.50 Mg/m³

- What is the formula in the first record?
  Na2CrHgSe